Below is CaTe2Br after structural relaxation, with properties calculated at the GGA-PBEsol level.

Polymorph energy (0 for the lowest one), meV per atom: 0
Formation energy (no corrections), eV/atom: -1.049
Mass density, g/cm³: 4.923
Total magnetization, μB/atom: 0.0000

a b c (Å): 4.253 4.253 6.995
angles (deg): 90.11 90.00 90.00
Positions (direct):
Te 0.500 0.626 0.085
Te 0.000 0.126 0.085
Ca 0.500 0.124 0.732
Br 0.000 0.625 0.598

***

Below is Ga3Tc after structural relaxation, with properties calculated at the GGA-PBEsol level.

Mass density, g/cm³: 8.895
ΔH_f (0 K), eV/f.u.: -0.36
Total magnetization, μB/atom: 0.0002

a b c (Å): 3.769 3.769 4.837
angles (deg): 112.93 112.93 90.00
Positions (direct):
Ga 0.250 0.750 0.500
Ga 0.750 0.250 0.500
Ga 0.500 0.500 0.000
Tc 0.000 0.000 0.000